(1)
Density functional theory data (PBE) for Tb2ZnGe3Pt4 after structural relaxation.

```
Tb2ZnGe3Pt4
1.0
4.2484 0.0000 0.0000
0.0000 4.2484 0.0000
0.0000 0.0000 10.3760
Ge Pt Tb Zn
3 4 2 1
Direct
0.0000 0.5000 0.1332
0.5000 0.0000 0.8668
0.0000 0.0000 0.5000
0.5000 0.5000 0.0000
0.0000 0.5000 0.3650
0.0000 0.0000 0.0000
0.5000 0.0000 0.6350
0.5000 0.0000 0.2541
0.0000 0.5000 0.7459
0.5000 0.5000 0.5000
```

Output
* M_tot: 0.00 μB/cell
* energy of formation from the pure elements: -0.887 eV per atom
* theoretical density: 12.250 g/cm³

=====

(2)
Density functional theory data (PBE) for Tb2ZnGePt6 after structural relaxation.

```
Tb2ZnGePt6
1.0
-1.1633 2.7203 -4.7208
-6.5817 -4.9707 -1.2440
-8.2669 0.3368 -1.0585
Pt Ge Zn Tb
6 1 1 2
Direct
0.7448 0.7496 0.0050
0.7499 0.7452 0.5004
0.2552 0.2504 0.9950
0.2501 0.7495 0.0050
0.2501 0.2548 0.4996
0.7499 0.2505 0.9950
0.0000 0.0000 0.0000
0.5000 0.5000 0.0000
0.2024 0.7978 0.5952
0.7976 0.2022 0.4048
```

Output
* M_tot: 0.00 μB/cell
* energy of formation from the pure elements: -0.786 eV per atom
* theoretical density: 13.055 g/cm³

=====

(3)
Density functional theory data (PBE) for TcGe2Pt2 after structural relaxation.

```
TcGe2Pt2
1.0
-5.4952 0.8308 -4.1551
-0.8469 -6.8826 -0.2562
-1.9460 0.1426 2.6022
Ge Pt Tc
4 4 2
Direct
0.3486 0.8486 0.0000
0.8486 0.6514 0.0000
0.6514 0.1514 0.0000
0.1514 0.3486 0.0000
0.3504 0.1496 0.5000
0.8504 0.3504 0.5000
0.1496 0.6496 0.5000
0.6496 0.8504 0.5000
0.0000 0.0000 0.0000
0.5000 0.5000 0.0000
```

Output
* M_tot: 0.00 μB/cell
* energy of formation from the pure elements: -0.022 eV per atom
* theoretical density: 13.433 g/cm³

=====

(4)
Density functional theory data (PBE) for Tc2Ge2Pt after structural relaxation.

```
Tc2Ge2Pt
1.0
7.1331 0.0000 0.0000
0.0000 7.1331 0.0000
0.0000 0.0000 2.9734
Tc Ge Pt
4 4 2
Direct
0.3513 0.1487 0.5000
0.8513 0.3513 0.5000
0.1487 0.6487 0.5000
0.6487 0.8513 0.5000
0.3511 0.8511 0.0000
0.6489 0.1489 0.0000
0.8511 0.6489 0.0000
0.1489 0.3511 0.0000
0.0000 0.0000 0.0000
0.5000 0.5000 0.0000
```

Output
* M_tot: 0.00 μB/cell
* energy of formation from the pure elements: 0.026 eV per atom
* relative energy among the computed polymorphs: 0 meV/atom
* theoretical density: 11.774 g/cm³

=====

Table of VASP energy (eV per atom), in record order: -5.74 -5.93 -6.36 -7.18
Table of DOS(E_F) (states/eV per atom), in record order: 0.4392 0.3565 0.7091 0.6829